Compound: SrTm2Zr
Source: Alexandria via LeMat-Bulk
Functional: PBE-GGA
Structure: optimized geometry

abc: 12.3237 12.3237 12.3237
angles: 16.24 16.24 16.24
Element x y z (fractional)
1 Sr 0.0000 0.0000 0.0000
2 Tm 0.0965 0.0965 0.0965
3 Tm 0.9035 0.9035 0.9035
4 Zr 0.5000 0.5000 0.5000

Computed properties:
ΔH_f (0 K) = 0.271 eV per atom
Space-group type = R-3m (166)
Magnetization = 0.000 μB/atom

---

Compound: Tm2Pd6Au
Source: Alexandria via LeMat-Bulk
Functional: PBE-GGA
Structure: optimized geometry

abc: 5.6608 4.1614 7.2463
angles: 90.00 99.62 90.00
Element x y z (fractional)
1 Tm 0.0000 0.0000 0.0000
2 Tm 0.3664 0.0000 0.4982
3 Pd 0.1801 0.5000 0.7464
4 Pd 0.3606 0.5000 0.1362
5 Pd 0.4624 0.0000 0.8918
6 Pd 0.6706 0.0000 0.2455
7 Pd 0.6819 0.5000 0.7499
8 Pd 0.8954 0.0000 0.5998
9 Au 0.9921 0.5000 0.3470

Computed properties:
ΔH_f (0 K) = -0.611 eV per atom
Space-group type = Pm (6)
Magnetization = 0.000 μB/atom

---

Compound: CsK2AlBr6
Source: Alexandria via LeMat-Bulk
Functional: PBE-GGA
Structure: optimized geometry

abc: 8.3041 8.3041 8.3041
angles: 60.00 60.00 60.00
Element x y z (fractional)
1 Cs 0.0000 0.0000 0.0000
2 K 0.2500 0.2500 0.2500
3 K 0.7500 0.7500 0.7500
4 Al 0.5000 0.5000 0.5000
5 Br 0.2854 0.2854 0.7146
6 Br 0.2854 0.7146 0.2854
7 Br 0.2854 0.7146 0.7146
8 Br 0.7146 0.2854 0.2854
9 Br 0.7146 0.2854 0.7146
10 Br 0.7146 0.7146 0.2854

Computed properties:
Energy relative to the elements, uncorrected = -1.394 eV per atom
Space-group type = Fm-3m (225)
Magnetization = 0.000 μB/atom

---

Compound: Hf3Ti12Ge5
Source: Alexandria via LeMat-Bulk
Functional: PBE-GGA
Structure: optimized geometry

abc: 13.1919 13.1919 13.1919
angles: 109.47 109.47 109.47
Element x y z (fractional)
1 Hf 0.1250 0.2500 0.3750
2 Hf 0.1250 0.3750 0.7500
3 Hf 0.2500 0.3750 0.1250
4 Hf 0.2500 0.8750 0.6250
5 Hf 0.3750 0.1250 0.2500
6 Hf 0.3750 0.7500 0.1250
7 Hf 0.6250 0.2500 0.8750
8 Hf 0.6250 0.8750 0.7500
9 Hf 0.7500 0.1250 0.3750
10 Hf 0.7500 0.6250 0.8750
11 Hf 0.8750 0.6250 0.2500
12 Hf 0.8750 0.7500 0.6250
13 Ti 0.0561 0.2241 0.1270
14 Ti 0.0561 0.3320 0.9291
15 Ti 0.0709 0.6270 0.4029
16 Ti 0.0709 0.9439 0.6680
17 Ti 0.0971 0.7241 0.6680
18 Ti 0.0971 0.8730 0.4291
19 Ti 0.1270 0.0561 0.2241
20 Ti 0.1270 0.5709 0.9029
21 Ti 0.1680 0.2241 0.5971
22 Ti 0.1680 0.4439 0.5709
23 Ti 0.2241 0.1270 0.0561
24 Ti 0.2241 0.5971 0.1680
25 Ti 0.2759 0.3320 0.9029
26 Ti 0.2759 0.4439 0.3730
27 Ti 0.3320 0.9029 0.2759
28 Ti 0.3320 0.9291 0.0561
29 Ti 0.3730 0.2759 0.4439
30 Ti 0.3730 0.5971 0.9291
31 Ti 0.4029 0.0709 0.6270
32 Ti 0.4029 0.8320 0.7759
33 Ti 0.4291 0.0971 0.8730
34 Ti 0.4291 0.8320 0.5561
35 Ti 0.4439 0.3730 0.2759
36 Ti 0.4439 0.5709 0.1680
37 Ti 0.5561 0.4291 0.8320
38 Ti 0.5561 0.6270 0.7241
39 Ti 0.5709 0.1680 0.4439
40 Ti 0.5709 0.9029 0.1270
41 Ti 0.5971 0.1680 0.2241
42 Ti 0.5971 0.9291 0.3730
43 Ti 0.6270 0.4029 0.0709
44 Ti 0.6270 0.7241 0.5561
45 Ti 0.6680 0.0709 0.9439
46 Ti 0.6680 0.0971 0.7241
47 Ti 0.7241 0.5561 0.6270
48 Ti 0.7241 0.6680 0.0971
49 Ti 0.7759 0.4029 0.8320
50 Ti 0.7759 0.8730 0.9439
51 Ti 0.8320 0.5561 0.4291
52 Ti 0.8320 0.7759 0.4029
53 Ti 0.8730 0.4291 0.0971
54 Ti 0.8730 0.9439 0.7759
55 Ti 0.9029 0.1270 0.5709
56 Ti 0.9029 0.2759 0.3320
57 Ti 0.9291 0.0561 0.3320
58 Ti 0.9291 0.3730 0.5971
59 Ti 0.9439 0.6680 0.0709
60 Ti 0.9439 0.7759 0.8730
61 Ge 0.0000 0.0000 0.0000
62 Ge 0.0000 0.0000 0.5000
63 Ge 0.0000 0.5000 0.0000
64 Ge 0.0000 0.5000 0.5000
65 Ge 0.1250 0.7500 0.8750
66 Ge 0.1250 0.8750 0.2500
67 Ge 0.2500 0.1250 0.8750
68 Ge 0.2500 0.6250 0.3750
69 Ge 0.3750 0.2500 0.6250
70 Ge 0.3750 0.6250 0.7500
71 Ge 0.5000 0.0000 0.0000
72 Ge 0.5000 0.0000 0.5000
73 Ge 0.5000 0.5000 0.0000
74 Ge 0.5000 0.5000 0.5000
75 Ge 0.6250 0.3750 0.2500
76 Ge 0.6250 0.7500 0.3750
77 Ge 0.7500 0.3750 0.6250
78 Ge 0.7500 0.8750 0.1250
79 Ge 0.8750 0.1250 0.7500
80 Ge 0.8750 0.2500 0.1250

Computed properties:
ΔH_f (0 K) = 0.555 eV per atom
Space-group type = Ia-3d (230)
Magnetization = 0.000 μB/atom

---

Compound: TiMnI6
Source: Alexandria via LeMat-Bulk
Functional: PBE-GGA
Structure: optimized geometry

abc: 7.7470 7.7470 7.0088
angles: 99.04 99.04 126.19
Element x y z (fractional)
1 Ti 0.0000 0.0000 0.0000
2 Mn 0.5000 0.5000 0.5000
3 I 0.1044 0.3903 0.2469
4 I 0.2366 0.2366 0.7627
5 I 0.3903 0.1044 0.2469
6 I 0.6097 0.8956 0.7531
7 I 0.7634 0.7634 0.2373
8 I 0.8956 0.6097 0.7531

Computed properties:
Energy relative to the elements, uncorrected = -0.527 eV per atom
Space-group type = C2/m (12)
Energy above the lowest structure with this stoichiometry = 0.000 eV/atom
Magnetization = 0.629 μB/atom

---

Compound: PuThTe4
Source: Alexandria via LeMat-Bulk
Functional: PBE-GGA
Structure: optimized geometry

abc: 5.2297 5.2297 7.6866
angles: 90.15 90.15 94.05
Element x y z (fractional)
1 Pu 0.0000 0.0000 0.0000
2 Th 0.5000 0.5000 0.5000
3 Te 0.0006 0.4995 0.7506
4 Te 0.4995 0.0006 0.7506
5 Te 0.5005 0.9994 0.2494
6 Te 0.9994 0.5005 0.2494

Computed properties:
Energy relative to the elements, uncorrected = -0.929 eV per atom
Space-group type = C2/m (12)
Energy above the lowest structure with this stoichiometry = 0.000 eV/atom
Magnetization = 0.815 μB/atom

---

Compound: Na3LiBi2S6
Source: Alexandria via LeMat-Bulk
Functional: PBE-GGA
Structure: optimized geometry

abc: 6.7845 6.7845 7.1611
angles: 99.15 99.15 119.97
Element x y z (fractional)
1 Na 0.0000 0.0000 0.0000
2 Na 0.3278 0.6722 0.0000
3 Na 0.6722 0.3278 0.0000
4 Li 0.5000 0.5000 0.5000
5 Bi 0.1663 0.8337 0.5000
6 Bi 0.8337 0.1663 0.5000
7 S 0.0948 0.4242 0.2728
8 S 0.2459 0.2459 0.7320
9 S 0.4242 0.0948 0.2728
10 S 0.5758 0.9052 0.7272
11 S 0.7541 0.7541 0.2680
12 S 0.9052 0.5758 0.7272

Computed properties:
Energy relative to the elements, uncorrected = -0.689 eV per atom
Space-group type = C2/m (12)
Magnetization = 0.000 μB/atom

---

Compound: YMgCdRh
Source: Alexandria via LeMat-Bulk
Functional: PBE-GGA
Structure: optimized geometry

abc: 4.8793 4.8793 4.8793
angles: 60.00 60.00 60.00
Element x y z (fractional)
1 Y 0.0000 0.0000 0.0000
2 Mg 0.5000 0.5000 0.5000
3 Cd 0.7500 0.7500 0.7500
4 Rh 0.2500 0.2500 0.2500

Computed properties:
ΔH_f (0 K) = -0.407 eV per atom
Space-group type = F-43m (216)
Magnetization = 0.000 μB/atom